{
  "formula": "Eu2NiBr",
  "functional": "PBE",
  "state": "optimized geometry",
  "total_energy_ev_per_cell": -30.86,
  "spacegroup": "P4/mmm (123)",
  "polymorph_energy_mev_per_atom": 61,
  "e_form_raw_kj_per_mol_atoms": -69.0,
  "total_magnetization_mub_per_atom": 3.618,
  "cell": [[-2.176, 2.760, 0.722], [0.419, -0.589, 3.514], [6.262, 4.915, 0.077]],
  "species": ["Eu", "Ni", "Br", "Eu"],
  "frac_coords": [[0.000, 0.000, 0.216], [0.500, 0.500, 0.000], [0.500, 0.500, 0.500], [0.000, 0.000, 0.784]]
}